DFT (PBE-GGA) results for a relaxed Ir4Br crystal.

Cell: 4.549 4.549 4.549 Å, 90.00 90.00 90.00°
Space group Pm-3m (No. 221)
One atom of each set of equivalent atoms:
Ir: 0.000 0.000 0.000 x1
Ir: 0.000 0.500 0.500 x3
Br: 0.500 0.500 0.500 x1

formation energy from raw total energies = 2238 meV/atom
total DFT energy (no corrections) = -5.186 eV/atom
ΔE to the lowest computed polymorph = 132.37 kJ per mole of atoms
size of the total moment = 2.3 μB per formula unit